No. 1
Compound: SrRuCl4
Source: Alexandria
Functional: PBE-GGA
Structure: relaxed

The calculation puts the total energy at -2.8792 eV per atom. The symmetry is No. 216.

Unit cell a=5.972 b=5.972 c=5.972 alpha=60.00 beta=60.00 gamma=60.00
Element x y z (fractional)
Sr (0.000, 0.000, 0.000)
Ru (0.750, 0.750, 0.750)
Cl (0.873, 0.376, 0.376)
Cl (0.376, 0.376, 0.873)
Cl (0.376, 0.873, 0.376)
Cl (0.376, 0.376, 0.376)


No. 2
Compound: SrTc2RuCl
Source: Alexandria
Functional: PBE-GGA
Structure: relaxed

The calculation puts the total energy at -5.8542 eV per atom. The symmetry is No. 123.

Unit cell a=4.702 b=5.461 c=4.702 alpha=90.00 beta=90.00 gamma=90.00
Element x y z (fractional)
Ru (0.000, 0.000, 0.000)
Cl (0.000, 0.500, 0.000)
Tc (0.000, 0.000, 0.500)
Tc (0.500, 0.000, 0.000)
Sr (0.500, 0.500, 0.500)


No. 3
Compound: Ta2RuCl
Source: Alexandria
Functional: PBE-GGA
Structure: relaxed

The relative energy among the computed polymorphs is 22 meV per atom. The symmetry is No. 47.

Unit cell a=2.992 b=3.001 c=7.747 alpha=90.01 beta=90.00 gamma=90.00
Element x y z (fractional)
Cl (0.500, 0.250, 0.250)
Ru (0.500, 0.750, 0.750)
Ta (0.000, 0.250, 0.973)
Ta (0.000, 0.250, 0.527)


No. 4
Compound: TaRu2Cl
Source: Alexandria
Functional: PBE-GGA
Structure: relaxed

The relative energy among the computed polymorphs is 45 meV per atom. The symmetry is No. 160.

Unit cell a=9.175 b=9.175 c=9.175 alpha=18.08 beta=18.08 gamma=18.08
Element x y z (fractional)
Cl (0.760, 0.760, 0.760)
Ru (0.991, 0.991, 0.991)
Ru (0.251, 0.251, 0.251)
Ta (0.497, 0.497, 0.497)


No. 5
Compound: Ta2RuCl
Source: Alexandria
Functional: PBE-GGA
Structure: relaxed

The relative energy among the computed polymorphs is 190 meV per atom. The symmetry is No. 166.

Unit cell a=8.951 b=8.951 c=8.951 alpha=18.92 beta=18.92 gamma=18.92
Element x y z (fractional)
Cl (0.250, 0.250, 0.250)
Ru (0.750, 0.750, 0.750)
Ta (0.000, 0.000, 0.000)
Ta (0.500, 0.500, 0.500)


No. 6
Compound: TaRu2Cl
Source: Alexandria
Functional: PBE-GGA
Structure: relaxed

The relative energy among the computed polymorphs is 574 meV per atom. The symmetry is No. 119.

Unit cell a=5.176 b=5.176 c=5.176 alpha=137.62 beta=137.62 gamma=61.49
Element x y z (fractional)
Cl (0.750, 0.250, 0.500)
Ru (0.000, 0.000, 0.000)
Ru (0.250, 0.750, 0.500)
Ta (0.500, 0.500, 0.000)


No. 7
Compound: Ta2RuCl
Source: Alexandria
Functional: PBE-GGA
Structure: relaxed

The relative energy among the computed polymorphs is 619 meV per atom. The symmetry is No. 122.

Unit cell a=6.727 b=6.727 c=5.694 alpha=53.79 beta=53.79 gamma=90.00
Element x y z (fractional)
Ru (0.000, 0.000, 0.000)
Ru (0.750, 0.250, 0.500)
Cl (0.500, 0.500, 0.000)
Cl (0.250, 0.750, 0.500)
Ta (0.610, 0.125, 0.250)
Ta (0.140, 0.625, 0.250)
Ta (0.375, 0.390, 0.750)
Ta (0.875, 0.860, 0.750)


No. 8
Compound: TaRu2Cl
Source: Alexandria
Functional: PBE-GGA
Structure: relaxed

The relative energy among the computed polymorphs is 54 meV per atom. The symmetry is No. 166.

Unit cell a=8.293 b=8.293 c=8.293 alpha=21.37 beta=21.37 gamma=21.37
Element x y z (fractional)
Cl (0.750, 0.750, 0.750)
Ru (0.996, 0.996, 0.996)
Ru (0.504, 0.504, 0.504)
Ta (0.250, 0.250, 0.250)


No. 9
Compound: TaRuCl2
Source: Alexandria
Functional: PBE-GGA
Structure: relaxed

The relative energy among the computed polymorphs is 387 meV per atom. The symmetry is No. 71.

Unit cell a=7.788 b=7.788 c=7.788 alpha=156.99 beta=148.41 gamma=39.44
Element x y z (fractional)
Ru (0.250, 0.750, 0.500)
Cl (0.890, 0.890, 0.000)
Cl (0.610, 0.610, 0.000)
Ta (0.750, 0.250, 0.500)


No. 10
Compound: TaRu2Cl
Source: Alexandria
Functional: PBE-GGA
Structure: relaxed

The relative energy among the computed polymorphs is 166 meV per atom. The symmetry is No. 10.

Unit cell a=4.047 b=2.939 c=5.368 alpha=72.29 beta=90.00 gamma=90.00
Element x y z (fractional)
Cl (0.500, 0.750, 0.750)
Ru (0.000, 0.871, 0.989)
Ru (0.000, 0.629, 0.511)
Ta (0.500, 0.250, 0.250)


No. 11
Compound: Ta2RuCl
Source: Alexandria
Functional: PBE-GGA
Structure: relaxed

The relative energy among the computed polymorphs is 268 meV per atom. The symmetry is No. 65.

Unit cell a=2.923 b=2.923 c=8.787 alpha=90.00 beta=90.00 gamma=114.53
Element x y z (fractional)
Cl (0.500, 0.500, 0.250)
Ru (0.500, 0.500, 0.750)
Ta (0.000, 0.000, 0.991)
Ta (0.000, 0.000, 0.509)


No. 12
Compound: Ta2RuCl
Source: Alexandria
Functional: PBE-GGA
Structure: relaxed

The relative energy among the computed polymorphs is 211 meV per atom. The symmetry is No. 12.

Unit cell a=4.126 b=4.126 c=8.147 alpha=64.99 beta=64.99 gamma=41.15
Element x y z (fractional)
Cl (0.750, 0.750, 0.750)
Ru (0.250, 0.250, 0.250)
Ta (0.074, 0.074, 0.060)
Ta (0.426, 0.426, 0.440)


No. 13
Compound: Ta2RuCl
Source: Alexandria
Functional: PBE-GGA
Structure: relaxed

The relative energy among the computed polymorphs is 445 meV per atom. The symmetry is No. 10.

Unit cell a=2.954 b=6.194 c=5.148 alpha=46.17 beta=90.00 gamma=90.00
Element x y z (fractional)
Cl (0.500, 0.500, 0.500)
Ru (0.000, 0.000, 0.500)
Ta (0.000, 0.000, 0.000)
Ta (0.500, 0.500, 0.000)


No. 14
Compound: TaRu2Cl
Source: Alexandria
Functional: PBE-GGA
Structure: relaxed

The relative energy among the computed polymorphs is 645 meV per atom. The symmetry is No. 122.

Unit cell a=5.455 b=5.455 c=6.805 alpha=66.37 beta=66.37 gamma=90.00
Element x y z (fractional)
Ru (0.597, 0.125, 0.250)
Ru (0.153, 0.625, 0.250)
Ru (0.375, 0.403, 0.750)
Ru (0.875, 0.847, 0.750)
Cl (0.500, 0.500, 0.000)
Cl (0.250, 0.750, 0.500)
Ta (0.000, 0.000, 0.000)
Ta (0.750, 0.250, 0.500)


No. 15
Compound: Ta2RuCl
Source: Alexandria
Functional: PBE-GGA
Structure: relaxed

The relative energy among the computed polymorphs is 99 meV per atom. The symmetry is No. 123.

Unit cell a=2.970 b=2.970 c=7.282 alpha=90.00 beta=90.00 gamma=90.00
Element x y z (fractional)
Cl (0.500, 0.500, 0.250)
Ru (0.500, 0.500, 0.750)
Ta (0.000, 0.000, 0.992)
Ta (0.000, 0.000, 0.508)